Entry 1:
{"formula": "InHgBi2Os", "functional": "meta-GGA SCAN", "state": "single point on PBEsol structure", "dos_at_fermi_per_ev_atom": 0.930, "e_form_ev_per_atom": 1.760, "cell": [[5.530, 0.000, 0.000], [0.000, 5.530, 0.000], [0.000, 0.000, 5.097]], "species": ["In", "Hg", "Bi", "Bi", "Os"], "frac_coords": [[0.000, 0.000, 0.000], [0.000, 0.000, 0.500], [0.000, 0.500, 0.500], [0.500, 0.000, 0.500], [0.500, 0.500, 0.000]]}

Entry 2:
{"formula": "GdZnPd", "functional": "meta-GGA SCAN", "state": "single point on PBEsol structure", "dos_at_fermi_per_ev_atom": 0.577, "e_form_ev_per_atom": -0.749, "cell": [[7.197, 0.000, 0.000], [-3.599, 6.233, 0.000], [0.000, 0.000, 3.854]], "species": ["Gd", "Gd", "Gd", "Zn", "Zn", "Zn", "Pd", "Pd", "Pd"], "frac_coords": [[0.000, 0.406, 0.000], [0.406, 0.000, 0.000], [0.594, 0.594, 0.000], [0.000, 0.752, 0.500], [0.248, 0.248, 0.500], [0.752, 0.000, 0.500], [0.000, 0.000, 0.000], [0.333, 0.667, 0.500], [0.667, 0.333, 0.500]]}

Entry 3:
{"formula": "YPW2", "functional": "meta-GGA SCAN", "state": "single point on PBEsol structure", "dos_at_fermi_per_ev_atom": 0.653, "e_form_ev_per_atom": 0.399, "cell": [[2.721, -5.004, 0.000], [2.721, 5.004, 0.000], [-1.727, 0.000, 2.562]], "species": ["Y", "P", "W", "W"], "frac_coords": [[0.000, 0.000, 0.000], [0.500, 0.500, 0.000], [0.000, 0.500, 0.500], [0.500, 0.000, 0.500]]}

Entry 4:
{"formula": "Na2H2Au", "functional": "meta-GGA SCAN", "state": "single point on PBEsol structure", "dos_at_fermi_per_ev_atom": 0.233, "total_energy_ev_per_cell": -85.8, "cell": [[-1.825, 1.825, 5.766], [1.825, -1.825, 5.766], [1.825, 1.825, -5.766]], "species": ["Na", "Na", "H", "H", "Au"], "frac_coords": [[0.136, 0.136, 0.000], [0.864, 0.864, 0.000], [0.355, 0.355, 0.000], [0.645, 0.645, 0.000], [0.500, 0.500, 0.000]]}

Entry 5:
{"formula": "MnGaTe2N", "functional": "meta-GGA SCAN", "state": "single point on PBEsol structure", "raw_formation_energy_mev_per_atom": 100, "dos_at_fermi_per_ev_atom": 0.454, "cell": [[5.299, 0.000, 0.000], [0.000, 5.299, 0.000], [0.000, 0.000, 3.421]], "species": ["Mn", "Ga", "Te", "Te", "N"], "frac_coords": [[0.000, 0.000, 0.000], [0.500, 0.500, 0.500], [0.000, 0.500, 0.000], [0.500, 0.000, 0.000], [0.000, 0.000, 0.500]]}

Entry 6:
{"formula": "NaCdN2", "functional": "meta-GGA SCAN", "state": "single point on PBEsol structure", "raw_formation_energy_mev_per_atom": 1091, "dos_at_fermi_per_ev_atom": 0.210, "cell": [[-2.513, 2.513, 5.673], [2.513, -2.513, 5.673], [2.513, 2.513, -5.673]], "species": ["Na", "Na", "Cd", "Cd", "N", "N", "N", "N"], "frac_coords": [[0.000, 0.000, 0.000], [0.750, 0.250, 0.500], [0.250, 0.750, 0.500], [0.500, 0.500, 0.000], [0.167, 0.625, 0.042], [0.375, 0.417, 0.542], [0.583, 0.125, 0.958], [0.875, 0.833, 0.458]]}

Entry 7:
{"formula": "BeBiMo3", "functional": "meta-GGA SCAN", "state": "single point on PBEsol structure", "dos_at_fermi_per_ev_atom": 1.053, "e_form_ev_per_atom": 2.908, "cell": [[4.938, 0.000, 0.000], [0.000, 4.938, 0.000], [0.000, 0.000, 4.938]], "species": ["Be", "Bi", "Mo", "Mo", "Mo"], "frac_coords": [[0.000, 0.000, 0.000], [0.500, 0.500, 0.500], [0.000, 0.500, 0.500], [0.500, 0.000, 0.500], [0.500, 0.500, 0.000]]}

Entry 8:
{"formula": "Cs2LiPrCl6", "functional": "meta-GGA SCAN", "state": "single point on PBEsol structure", "raw_formation_energy_mev_per_atom": -2366, "dos_at_fermi_per_ev_atom": 0.000, "cell": [[0.000, 5.275, 5.275], [5.275, 0.000, 5.275], [5.275, 5.275, 0.000]], "species": ["Cs", "Cs", "Li", "Pr", "Cl", "Cl", "Cl", "Cl", "Cl", "Cl"], "frac_coords": [[0.250, 0.250, 0.250], [0.750, 0.750, 0.750], [0.000, 0.000, 0.000], [0.500, 0.500, 0.500], [0.242, 0.242, 0.758], [0.242, 0.758, 0.242], [0.242, 0.758, 0.758], [0.758, 0.242, 0.242], [0.758, 0.242, 0.758], [0.758, 0.758, 0.242]]}

Entry 9:
{"formula": "MnOs2Cl", "functional": "meta-GGA SCAN", "state": "single point on PBEsol structure", "raw_formation_energy_mev_per_atom": 159, "dos_at_fermi_per_ev_atom": 0.531, "cell": [[2.818, 0.000, 0.000], [0.000, 1.412, 7.379], [0.000, -1.412, 7.379]], "species": ["Mn", "Os", "Os", "Cl"], "frac_coords": [[0.000, 0.000, 0.000], [0.000, 0.760, 0.760], [0.500, 0.371, 0.371], [0.500, 0.617, 0.617]]}

Entry 10:
{"formula": "ZnCu2Se", "functional": "meta-GGA SCAN", "state": "single point on PBEsol structure", "raw_formation_energy_mev_per_atom": 196, "dos_at_fermi_per_ev_atom": 0.280, "cell": [[2.743, 0.000, 0.000], [0.000, 2.743, 0.000], [0.000, 0.000, 7.840]], "species": ["Zn", "Cu", "Cu", "Se"], "frac_coords": [[0.000, 0.000, 0.000], [0.000, 0.000, 0.411], [0.500, 0.500, 0.203], [0.500, 0.500, 0.657]]}

Entry 11:
{"formula": "ZrCdCuGe2", "functional": "meta-GGA SCAN", "state": "single point on PBEsol structure", "dos_at_fermi_per_ev_atom": 0.675, "e_form_ev_per_atom": 1.257, "cell": [[4.829, 0.000, 0.000], [0.000, 4.829, 0.000], [0.000, 0.000, 5.335]], "species": ["Zr", "Cd", "Cu", "Ge", "Ge"], "frac_coords": [[0.000, 0.000, 0.000], [0.000, 0.000, 0.500], [0.500, 0.500, 0.000], [0.000, 0.500, 0.500], [0.500, 0.000, 0.500]]}

Entry 12:
{"formula": "Tb3ReB7", "functional": "meta-GGA SCAN", "state": "single point on PBEsol structure", "dos_at_fermi_per_ev_atom": 0.347, "e_form_ev_per_atom": -0.652, "cell": [[1.755, -7.879, 0.000], [1.755, 7.879, 0.000], [0.000, 0.000, 9.322]], "species": ["Tb", "Tb", "Tb", "Tb", "Tb", "Tb", "Re", "Re", "B", "B", "B", "B", "B", "B", "B", "B", "B", "B", "B", "B", "B", "B"], "frac_coords": [[0.105, 0.895, 0.560], [0.105, 0.895, 0.940], [0.242, 0.758, 0.250], [0.758, 0.242, 0.750], [0.895, 0.105, 0.060], [0.895, 0.105, 0.440], [0.053, 0.947, 0.250], [0.947, 0.053, 0.750], [0.273, 0.727, 0.532], [0.273, 0.727, 0.968], [0.368, 0.632, 0.651], [0.368, 0.632, 0.849], [0.458, 0.542, 0.250], [0.479, 0.521, 0.595], [0.479, 0.521, 0.905], [0.521, 0.479, 0.095], [0.521, 0.479, 0.405], [0.542, 0.458, 0.750], [0.632, 0.368, 0.151], [0.632, 0.368, 0.349], [0.727, 0.273, 0.032], [0.727, 0.273, 0.468]]}

Entry 13:
{"formula": "CaYCrAu2", "functional": "meta-GGA SCAN", "state": "single point on PBEsol structure", "dos_at_fermi_per_ev_atom": 0.623, "e_form_ev_per_atom": 0.863, "cell": [[5.028, 0.000, 0.000], [0.000, 5.028, 0.000], [0.000, 0.000, 5.388]], "species": ["Ca", "Y", "Cr", "Au", "Au"], "frac_coords": [[0.000, 0.000, 0.000], [0.000, 0.000, 0.500], [0.500, 0.500, 0.500], [0.000, 0.500, 0.000], [0.500, 0.000, 0.000]]}